(1)
MgHPd4 | PBE-GGA | optimized geometry

- E (eV/f.u.) = -27.425
- density (g/cm3) = 9.1
- N(E_F) (states/eV per cell) = 3.52

a b c (Å): 4.810 4.934 7.377
angles (deg): 109.32 93.21 90.08
Fractional coordinates of all 12 atoms:
Mg1 0.250 0.188 0.000
Mg2 0.750 0.812 0.000
H1 0.000 0.500 0.500
H2 0.500 0.000 0.500
Pd1 0.217 0.957 0.612
Pd2 0.229 0.562 0.801
Pd3 0.272 0.762 0.199
Pd4 0.283 0.345 0.388
Pd5 0.717 0.655 0.612
Pd6 0.728 0.238 0.801
Pd7 0.771 0.438 0.199
Pd8 0.783 0.043 0.388

***

(2)
MgH3Pd6 | PBE-GGA | optimized geometry

- E (eV/f.u.) = -44.669
- density (g/cm3) = 9.4
- N(E_F) (states/eV per cell) = 5.41

a b c (Å): 9.114 2.848 9.378
angles (deg): 90.00 104.55 90.00
Fractional coordinates of all 20 atoms:
Mg1 0.049 0.250 0.159
Mg2 0.951 0.750 0.841
H1 0.182 0.250 0.573
H2 0.362 0.750 0.082
H3 0.466 0.750 0.667
H4 0.534 0.250 0.333
H5 0.638 0.250 0.918
H6 0.818 0.750 0.427
Pd1 0.093 0.750 0.413
Pd2 0.177 0.750 0.711
Pd3 0.225 0.250 0.974
Pd4 0.316 0.750 0.261
Pd5 0.379 0.250 0.548
Pd6 0.468 0.750 0.861
Pd7 0.532 0.250 0.139
Pd8 0.621 0.750 0.452
Pd9 0.684 0.250 0.739
Pd10 0.775 0.750 0.026
Pd11 0.823 0.250 0.289
Pd12 0.907 0.250 0.587

***

E of number 2 (MgH3Pd6)? -44.669 eV/f.u.

***

Which value of density does entry 2 give? 9.4 g/cm3

***

Which of these has the lowest density? MgHPd4